This record from Alexandria describes a geometry-optimized ScCoP2O structure. The functional is GGA+U.

Structure (CIF):
```
data_ScCoP2O
_space_group_name_H-M_alt 'P 4/m m m'
_space_group_IT_number 123
_space_group_name_Hall '-P 4 2'
_cell_length_a 5.1088
_cell_length_b 5.1088
_cell_length_c 3.8285
_cell_angle_alpha 90.00
_cell_angle_beta 90.00
_cell_angle_gamma 90.00
loop_
_atom_site_label
_atom_site_type_symbol
_atom_site_fract_x
_atom_site_fract_y
_atom_site_fract_z
Sc1 Sc 0.0000 0.0000 0.0000
Co1 Co 0.5000 0.5000 0.5000
P1 P 0.0000 0.5000 0.0000
O1 O 0.0000 0.0000 0.5000
```

Polymorph energy (0 for the lowest one) ... 404 meV/atom